Record 1
The following is a PBE-GGA calculation of crystalline ReH12C4NO4 at its relaxed geometry, from OQMD via LeMat-Bulk.

a b c (Å): 5.537 12.203 11.550
angles (deg): 90.00 90.02 90.00
Fractional coordinates of all 88 atoms:
1 Re 0.053 0.250 0.018
2 Re 0.053 0.750 0.482
3 Re 0.947 0.250 0.518
4 Re 0.947 0.750 0.982
5 H 0.210 0.118 0.289
6 H 0.210 0.382 0.289
7 H 0.210 0.502 0.381
8 H 0.210 0.617 0.210
9 H 0.210 0.883 0.210
10 H 0.210 0.998 0.381
11 H 0.211 0.003 0.118
12 H 0.211 0.497 0.118
13 H 0.255 0.123 0.752
14 H 0.255 0.377 0.752
15 H 0.256 0.624 0.748
16 H 0.256 0.876 0.748
17 H 0.257 0.537 0.874
18 H 0.257 0.963 0.874
19 H 0.258 0.036 0.625
20 H 0.258 0.464 0.625
21 H 0.439 0.101 0.397
22 H 0.439 0.399 0.397
23 H 0.440 0.601 0.103
24 H 0.440 0.899 0.103
25 H 0.485 0.640 0.856
26 H 0.485 0.860 0.856
27 H 0.486 0.140 0.644
28 H 0.486 0.360 0.644
29 H 0.514 0.640 0.356
30 H 0.514 0.860 0.356
31 H 0.515 0.140 0.144
32 H 0.515 0.360 0.144
33 H 0.560 0.101 0.897
34 H 0.560 0.399 0.897
35 H 0.561 0.601 0.603
36 H 0.561 0.899 0.603
37 H 0.742 0.536 0.375
38 H 0.742 0.964 0.375
39 H 0.743 0.037 0.126
40 H 0.743 0.463 0.126
41 H 0.744 0.124 0.252
42 H 0.744 0.376 0.252
43 H 0.745 0.623 0.248
44 H 0.745 0.877 0.248
45 H 0.789 0.503 0.882
46 H 0.789 0.997 0.882
47 H 0.790 0.002 0.619
48 H 0.790 0.117 0.790
49 H 0.790 0.383 0.790
50 H 0.790 0.498 0.619
51 H 0.790 0.618 0.711
52 H 0.790 0.882 0.711
53 C 0.322 0.058 0.336
54 C 0.322 0.442 0.336
55 C 0.322 0.558 0.164
56 C 0.322 0.942 0.164
57 C 0.368 0.081 0.688
58 C 0.368 0.419 0.688
59 C 0.368 0.582 0.812
60 C 0.368 0.918 0.812
61 C 0.632 0.082 0.188
62 C 0.632 0.418 0.188
63 C 0.632 0.581 0.312
64 C 0.632 0.919 0.312
65 C 0.678 0.058 0.836
66 C 0.678 0.442 0.836
67 C 0.678 0.558 0.664
68 C 0.678 0.942 0.664
69 N 0.477 0.000 0.250
70 N 0.477 0.500 0.250
71 N 0.523 0.000 0.750
72 N 0.523 0.500 0.750
73 O 0.127 0.250 0.166
74 O 0.129 0.750 0.334
75 O 0.169 0.631 0.548
76 O 0.169 0.869 0.548
77 O 0.170 0.131 0.952
78 O 0.170 0.369 0.952
79 O 0.261 0.750 0.998
80 O 0.262 0.250 0.504
81 O 0.738 0.750 0.496
82 O 0.739 0.250 0.002
83 O 0.830 0.631 0.048
84 O 0.830 0.869 0.048
85 O 0.831 0.131 0.452
86 O 0.831 0.369 0.452
87 O 0.871 0.250 0.666
88 O 0.873 0.750 0.834

Properties
Energy = -5.87 eV/atom
Calculated volume = 780.4 Å³/cell
Space group = P2_1/m, No. 11
Crystal system = monoclinic
Total magnetization = 0.000 μB/atom

***

Record 2
The following is a PBE-GGA calculation of crystalline ZnH12C2S2N6O8 at its relaxed geometry, from OQMD via LeMat-Bulk.

a b c (Å): 9.586 9.586 9.586
angles (deg): 122.19 122.19 86.24
Fractional coordinates of all 62 atoms:
1 Zn 0.000 0.000 0.000
2 Zn 0.750 0.250 0.500
3 H 0.118 0.482 0.989
4 H 0.132 0.128 0.611
5 H 0.139 0.478 0.617
6 H 0.228 0.389 0.117
7 H 0.232 0.368 0.489
8 H 0.233 0.122 0.503
9 H 0.257 0.768 0.135
10 H 0.270 0.767 0.889
11 H 0.272 0.111 0.883
12 H 0.478 0.861 0.339
13 H 0.480 0.868 0.997
14 H 0.493 0.129 0.011
15 H 0.517 0.520 0.389
16 H 0.518 0.507 0.635
17 H 0.522 0.139 0.661
18 H 0.611 0.728 0.839
19 H 0.618 0.730 0.497
20 H 0.632 0.121 0.865
21 H 0.861 0.522 0.383
22 H 0.871 0.882 0.365
23 H 0.872 0.483 0.003
24 H 0.878 0.382 0.111
25 H 0.879 0.743 0.511
26 H 0.889 0.772 0.161
27 C 0.367 0.625 0.242
28 C 0.375 0.617 0.742
29 C 0.383 0.125 0.758
30 C 0.875 0.633 0.258
31 S 0.375 0.149 0.274
32 S 0.851 0.125 0.226
33 S 0.875 0.101 0.726
34 S 0.899 0.625 0.774
35 N 0.228 0.486 0.102
36 N 0.236 0.478 0.602
37 N 0.239 0.125 0.614
38 N 0.365 0.764 0.241
39 N 0.375 0.761 0.886
40 N 0.385 0.126 0.898
41 N 0.511 0.625 0.386
42 N 0.514 0.615 0.741
43 N 0.522 0.124 0.759
44 N 0.874 0.772 0.259
45 N 0.875 0.489 0.114
46 N 0.876 0.635 0.398
47 O 0.020 0.116 0.251
48 O 0.031 0.061 0.741
49 O 0.040 0.570 0.759
50 O 0.231 0.980 0.096
51 O 0.320 0.290 0.259
52 O 0.430 0.189 0.470
53 O 0.519 0.115 0.249
54 O 0.710 0.969 0.030
55 O 0.719 0.960 0.530
56 O 0.730 0.481 0.596
57 O 0.811 0.281 0.241
58 O 0.865 0.769 0.749
59 O 0.866 0.270 0.751
60 O 0.884 0.135 0.904
61 O 0.885 0.134 0.404
62 O 0.939 0.680 0.970

Properties
Energy = -5.85 eV/atom
Calculated volume = 600.9 Å³/cell
Space group = I-42d, No. 122
Crystal system = tetragonal

***

Record 3
The following is a PBE-GGA calculation of crystalline ZnH12C6S2N10O2 at its relaxed geometry, from OQMD via LeMat-Bulk.

a b c (Å): 9.533 9.533 18.158
angles (deg): 114.20 114.20 27.45
Fractional coordinates of all 66 atoms:
1 Zn 0.157 0.843 0.750
2 Zn 0.843 0.157 0.250
3 H 0.028 0.055 0.459
4 H 0.028 0.618 0.735
5 H 0.055 0.028 0.959
6 H 0.090 0.668 0.548
7 H 0.192 0.485 0.872
8 H 0.226 0.248 0.243
9 H 0.226 0.405 0.955
10 H 0.248 0.226 0.743
11 H 0.332 0.910 0.952
12 H 0.382 0.972 0.765
13 H 0.405 0.226 0.455
14 H 0.485 0.192 0.372
15 H 0.515 0.808 0.628
16 H 0.595 0.774 0.545
17 H 0.618 0.028 0.235
18 H 0.668 0.090 0.048
19 H 0.752 0.774 0.257
20 H 0.774 0.595 0.045
21 H 0.774 0.752 0.757
22 H 0.808 0.515 0.128
23 H 0.910 0.332 0.452
24 H 0.945 0.972 0.041
25 H 0.972 0.382 0.265
26 H 0.972 0.945 0.541
27 C 0.116 0.604 0.142
28 C 0.223 0.584 0.452
29 C 0.388 0.525 0.362
30 C 0.396 0.884 0.358
31 C 0.416 0.777 0.048
32 C 0.475 0.612 0.138
33 C 0.525 0.388 0.862
34 C 0.584 0.223 0.952
35 C 0.604 0.116 0.642
36 C 0.612 0.475 0.638
37 C 0.777 0.416 0.548
38 C 0.884 0.396 0.858
39 S 0.289 0.298 0.091
40 S 0.298 0.289 0.591
41 S 0.702 0.711 0.409
42 S 0.711 0.702 0.909
43 N 0.016 0.168 0.820
44 N 0.069 0.753 0.516
45 N 0.168 0.016 0.320
46 N 0.208 0.698 0.416
47 N 0.247 0.931 0.984
48 N 0.302 0.792 0.084
49 N 0.315 0.383 0.925
50 N 0.382 0.546 0.813
51 N 0.383 0.315 0.425
52 N 0.454 0.618 0.687
53 N 0.546 0.382 0.313
54 N 0.617 0.685 0.575
55 N 0.618 0.454 0.187
56 N 0.685 0.617 0.075
57 N 0.698 0.208 0.916
58 N 0.753 0.069 0.016
59 N 0.792 0.302 0.584
60 N 0.832 0.984 0.680
61 N 0.931 0.247 0.484
62 N 0.984 0.832 0.180
63 O 0.003 0.413 0.233
64 O 0.413 0.003 0.733
65 O 0.587 0.997 0.267
66 O 0.997 0.587 0.767

Properties
Energy = -6.26 eV/atom
Calculated volume = 689.6 Å³/cell
Space group = C2/c, No. 15
Crystal system = monoclinic

***

Record 4
The following is a PBE-GGA calculation of crystalline SmH9C5N2O8 at its relaxed geometry, from OQMD via LeMat-Bulk.

a b c (Å): 9.909 9.909 8.415
angles (deg): 90.00 90.00 140.70
Fractional coordinates of all 50 atoms:
1 Sm 0.143 0.857 0.750
2 Sm 0.857 0.143 0.250
3 H 0.081 0.508 0.553
4 H 0.171 0.358 0.901
5 H 0.243 0.243 0.500
6 H 0.318 0.682 0.250
7 H 0.333 0.349 0.827
8 H 0.346 0.654 0.750
9 H 0.349 0.333 0.173
10 H 0.358 0.171 0.099
11 H 0.492 0.919 0.947
12 H 0.508 0.081 0.447
13 H 0.642 0.829 0.599
14 H 0.651 0.667 0.673
15 H 0.654 0.346 0.250
16 H 0.667 0.651 0.327
17 H 0.682 0.318 0.750
18 H 0.757 0.757 0.000
19 H 0.829 0.642 0.401
20 H 0.919 0.492 0.053
21 C 0.011 0.528 0.469
22 C 0.077 0.077 0.500
23 C 0.377 0.623 0.250
24 C 0.405 0.595 0.750
25 C 0.472 0.989 0.031
26 C 0.528 0.011 0.531
27 C 0.595 0.405 0.250
28 C 0.623 0.377 0.750
29 C 0.923 0.923 0.000
30 C 0.989 0.472 0.969
31 N 0.298 0.423 0.834
32 N 0.423 0.298 0.166
33 N 0.577 0.702 0.666
34 N 0.702 0.577 0.334
35 O 0.006 0.646 0.511
36 O 0.036 0.933 0.564
37 O 0.059 0.570 0.837
38 O 0.067 0.964 0.936
39 O 0.244 0.427 0.276
40 O 0.354 0.994 0.989
41 O 0.427 0.244 0.724
42 O 0.430 0.941 0.663
43 O 0.570 0.059 0.163
44 O 0.573 0.756 0.224
45 O 0.646 0.006 0.489
46 O 0.756 0.573 0.776
47 O 0.933 0.036 0.436
48 O 0.941 0.430 0.337
49 O 0.964 0.067 0.064
50 O 0.994 0.354 0.011

Properties
Energy = -6.51 eV/atom
Calculated volume = 523.4 Å³/cell
Space group = C222_1, No. 20
Crystal system = orthorhombic
Total magnetization = 0.000 μB/atom